Record 1
! ZrBe2Cl PBE relaxed; values from VASP
! - ρ (Mg/m³) = 3.7
! - ΔE_f (raw) (eV per atom) = 0.885
! - distance to the lowest polymorph of the same formula (meV per atom) = 1157
! - symmetry = Fm-3m (225)
! - crystal system = cubic
! - calculated volume (Å³ per cell) = 64.4
&SYSTEM
  ibrav = 0, nat = 4, ntyp = 3
/
ATOMIC_SPECIES
Be 9.01 Be.upf
Zr 91.22 Zr.upf
Cl 35.45 Cl.upf
CELL_PARAMETERS angstrom
0.000 3.182 3.182
3.182 0.000 3.182
3.182 3.182 0.000
ATOMIC_POSITIONS crystal
Be 0.250 0.250 0.250
Be 0.750 0.750 0.750
Zr 0.500 0.500 0.500
Cl 0.000 0.000 0.000

Record 2
! CeTh2Zn PBE relaxed; values from VASP
! - ρ (Mg/m³) = 10.0
! - ΔE_f (meV/atom) = -19
! - distance to the lowest polymorph of the same formula (meV per atom) = 0
! - symmetry = P4/mmm (123)
! - crystal system = tetragonal
! - calculated volume (Å³ per cell) = 111.6
&SYSTEM
  ibrav = 0, nat = 4, ntyp = 3
/
ATOMIC_SPECIES
Zn 65.41 Zn.upf
Ce 140.12 Ce.upf
Th 232.04 Th.upf
CELL_PARAMETERS angstrom
-3.307 -1.491 -0.258
1.498 -3.136 -1.072
0.504 -2.509 8.041
ATOMIC_POSITIONS crystal
Zn 0.500 0.500 0.000
Ce 0.500 0.500 0.500
Th 0.000 0.000 0.782
Th 0.000 0.000 0.218

Record 3
! Nd3Si6Pd20 PBE relaxed; values from VASP
! - ρ (Mg/m³) = 9.5
! - ΔE_f (raw) (eV per atom) = -0.794
! - symmetry = Fm-3m (225)
! - crystal system = cubic
! - calculated volume (Å³ per cell) = 477.3
&SYSTEM
  ibrav = 0, nat = 29, ntyp = 3
/
ATOMIC_SPECIES
Nd 144.24 Nd.upf
Si 28.09 Si.upf
Pd 106.42 Pd.upf
CELL_PARAMETERS angstrom
8.772 0.000 0.000
4.386 7.597 0.000
4.386 2.532 7.162
ATOMIC_POSITIONS crystal
Nd 0.250 0.250 0.250
Nd 0.750 0.750 0.750
Nd 0.000 0.000 0.000
Si 0.733 0.267 0.267
Si 0.267 0.733 0.733
Si 0.267 0.733 0.267
Si 0.733 0.267 0.733
Si 0.267 0.267 0.733
Si 0.733 0.733 0.267
Pd 0.347 0.000 0.000
Pd 0.653 0.000 0.000
Pd 0.000 0.347 0.653
Pd 0.000 0.653 0.347
Pd 0.000 0.347 0.000
Pd 0.653 0.000 0.347
Pd 0.000 0.653 0.000
Pd 0.347 0.000 0.653
Pd 0.000 0.000 0.347
Pd 0.000 0.000 0.653
Pd 0.653 0.347 0.000
Pd 0.347 0.653 0.000
Pd 0.385 0.385 0.385
Pd 0.615 0.615 0.615
Pd 0.385 0.385 0.844
Pd 0.385 0.844 0.385
Pd 0.615 0.615 0.156
Pd 0.615 0.156 0.615
Pd 0.844 0.385 0.385
Pd 0.156 0.615 0.615

Record 4
! Tb2ThPtN4 PBE relaxed; values from VASP
! - ρ (Mg/m³) = 11.1
! - ΔE_f (raw) (eV per atom) = -1.027
! - symmetry = Cmcm (63)
! - crystal system = orthorhombic
! - calculated volume (Å³ per cell) = 240.5
&SYSTEM
  ibrav = 0, nat = 16, ntyp = 4
/
ATOMIC_SPECIES
Tb 158.93 Tb.upf
Th 232.04 Th.upf
Pt 195.08 Pt.upf
N 14.01 N.upf
CELL_PARAMETERS angstrom
-1.005 0.750 3.230
-3.443 -4.748 -1.826
8.055 -7.472 4.241
ATOMIC_POSITIONS crystal
Tb 0.372 0.745 0.550
Tb 0.628 0.255 0.050
Tb 0.628 0.255 0.450
Tb 0.372 0.745 0.950
Th 0.114 0.228 0.750
Th 0.886 0.772 0.250
Pt 0.852 0.704 0.750
Pt 0.148 0.296 0.250
N 0.283 0.567 0.128
N 0.717 0.433 0.628
N 0.717 0.433 0.872
N 0.283 0.567 0.372
N 0.000 0.000 0.500
N 0.000 0.000 0.000
N 0.459 0.919 0.750
N 0.541 0.081 0.250